A plane-wave DFT calculation with PBEsol was carried out for a relaxed structure of Sc2MnTc.

theoretical density = 6.223 g cm⁻³
uncorrected energy = -8.598 eV/atom
crystal system = orthorhombic

```
Sc2MnTc
1.0
-1.865 -2.359 -0.824
3.045 -2.933 1.507
-2.566 2.747 3.844
Mn Sc Tc
1 2 1
Cartesian
-0.884 0.045 1.873 Mn
-2.851 -1.082 3.653 Sc
-0.450 -2.594 2.547 Sc
-1.040 -1.174 -0.183 Tc
```